DFT (PBE-GGA) results for an optimized crystal structure of Na3AsIr.

Calculated values
**Relative energy among the computed polymorphs**: 0.00 kJ per mole of atoms
**Space group**: Pm-3m (221)
**Crystal system**: cubic
**Volume**: 162 Å³/cell

abc: 5.446 5.446 5.446
angles: 90.00 90.00 90.00
Site moments in Bohr magnetons follow the coordinates.
Fractional coordinates of all 5 atoms:
Na (0.000, 0.500, 0.000)  0.00
Na (0.500, 0.000, 0.000)  0.01
Na (0.000, 0.000, 0.500)  0.01
Ir (0.500, 0.500, 0.500)  2.02
As (0.000, 0.000, 0.000)  0.36